Material: Sr4Mg3Ag
Method: DFT, PBE
State: relaxed

V	278	Å³/f.u.
raw total energy	-1.90	eV/atom
magnetic moment	0.00	μB/f.u.
energy of formation from the pure elements	-0.105	eV/atom

a = 4.072 Å, b = 4.072 Å, c = 16.757 Å
α = 90.00°, β = 90.00°, γ = 90.00°
Space group P4/mmm (No. 123)
Inequivalent atoms, fractional coordinates:
Sr 0.000 0.000 0.113 x2
Sr 0.000 0.000 0.371 x2
Mg 0.500 0.500 0.243 x2
Mg 0.500 0.500 0.500 x1
Ag 0.500 0.500 0.000 x1